Material: NaZrTlNi2
Method: DFT, PBE
State: relaxed

Unit cell a=4.765 b=5.712 c=4.765 alpha=90.00 beta=90.00 gamma=90.00
Sites, in units of the cell vectors:
1 Ni 0.000 0.000 0.500
2 Ni 0.500 0.000 0.000
3 Tl 0.000 0.500 0.000
4 Zr 0.000 0.000 0.000
5 Na 0.500 0.500 0.500

As for the total DFT energy (no corrections): -4.01 eV/atom. The symmetry is P4/mmm (123). Its density is 5.58 g/cm3.

---

Material: NaZrTlNi2
Method: DFT, PBE
State: relaxed

Unit cell a=4.477 b=4.901 c=4.477 alpha=90.00 beta=90.00 gamma=90.00
Each line ends with the local moment (μB).
Sites, in units of the cell vectors:
1 Ni 0.000 0.000 0.500  0.23
2 Ni 0.500 0.000 0.000  0.24
3 Tl 0.000 0.500 0.000  0.01
4 Zr 0.500 0.500 0.500  0.11
5 Na 0.000 0.000 0.000  0.00

As for the total DFT energy (no corrections): -3.67 eV/atom. The symmetry is P4/mmm (123). Its density is 7.37 g/cm3.

---

Material: NaTmNi4
Method: DFT, PBE
State: relaxed

Unit cell a=4.962 b=4.962 c=4.962 alpha=60.00 beta=60.00 gamma=60.00
Sites, in units of the cell vectors:
1 Ni 0.625 0.625 0.125
2 Ni 0.625 0.125 0.625
3 Ni 0.625 0.625 0.625
4 Ni 0.125 0.625 0.625
5 Tm 0.250 0.250 0.250
6 Na 0.000 0.000 0.000

As for the total DFT energy (no corrections): -5.00 eV/atom. The symmetry is F-43m (216). Its density is 8.20 g/cm3.

---

Material: NaUNi4
Method: DFT, PBE
State: relaxed

Unit cell a=4.949 b=4.949 c=4.949 alpha=60.00 beta=60.00 gamma=60.00
Each line ends with the local moment (μB).
Sites, in units of the cell vectors:
1 Ni 0.625 0.625 0.124  0.23
2 Ni 0.625 0.124 0.625  0.23
3 Ni 0.625 0.625 0.625  0.23
4 Ni 0.124 0.625 0.625  0.23
5 U 0.250 0.250 0.250  -1.74
6 Na 0.000 0.000 0.000  -0.01

As for the total DFT energy (no corrections): -5.96 eV/atom. The symmetry is F-43m (216). Its density is 9.61 g/cm3.

---

Material: NaVNi3
Method: DFT, PBE
State: relaxed

Unit cell a=4.392 b=4.392 c=4.392 alpha=90.00 beta=90.00 gamma=90.00
Each line ends with the local moment (μB).
Sites, in units of the cell vectors:
1 Ni 0.000 0.500 0.000  0.01
2 Ni 0.000 0.000 0.500  0.01
3 Ni 0.500 0.000 0.000  0.01
4 V 0.000 0.000 0.000  0.14
5 Na 0.500 0.500 0.500  0.00

As for the total DFT energy (no corrections): -4.73 eV/atom. The symmetry is Pm-3m (221). Its density is 4.90 g/cm3.

---

Material: NaVNi
Method: DFT, PBE
State: relaxed

Unit cell a=4.013 b=3.408 c=13.829 alpha=90.00 beta=90.00 gamma=90.00
Sites, in units of the cell vectors:
1 Na 0.000 0.000 0.693
2 Na 0.000 0.500 0.193
3 Na 0.500 0.000 0.193
4 Na 0.500 0.500 0.693
5 V 0.000 0.000 0.987
6 V 0.000 0.500 0.487
7 V 0.500 0.000 0.487
8 V 0.500 0.500 0.987
9 Ni 0.000 0.000 0.367
10 Ni 0.000 0.500 0.867
11 Ni 0.500 0.000 0.867
12 Ni 0.500 0.500 0.367

As for the total DFT energy (no corrections): -4.98 eV/atom. The symmetry is Fmm2 (42). Its density is 4.66 g/cm3.

---

Material: NaVNi
Method: DFT, PBE
State: relaxed

Unit cell a=2.654 b=2.655 c=13.564 alpha=89.77 beta=89.46 gamma=90.01
Sites, in units of the cell vectors:
1 Na 0.316 0.667 0.982
2 Na 0.852 0.179 0.223
3 V 0.826 0.168 0.775
4 V 0.839 0.174 0.515
5 Ni 0.346 0.677 0.394
6 Ni 0.332 0.671 0.648

As for the total DFT energy (no corrections): -5.15 eV/atom. The symmetry is P1 (1). Its density is 4.61 g/cm3.

---

Material: NaV2Ni
Method: DFT, PBE
State: relaxed

Unit cell a=3.558 b=3.558 c=9.889 alpha=79.63 beta=79.63 gamma=90.00
Sites, in units of the cell vectors:
1 Ni 0.000 0.000 0.000
2 Ni 0.750 0.250 0.500
3 V 0.650 0.125 0.250
4 V 0.100 0.625 0.250
5 V 0.375 0.350 0.750
6 V 0.875 0.900 0.750
7 Na 0.500 0.500 0.000
8 Na 0.250 0.750 0.500

As for the total DFT energy (no corrections): -5.37 eV/atom. The symmetry is I-42d (122). Its density is 5.03 g/cm3.

---

Material: NaVNi2
Method: DFT, PBE
State: relaxed

Unit cell a=4.246 b=4.246 c=4.246 alpha=60.00 beta=60.00 gamma=60.00
Each line ends with the local moment (μB).
Sites, in units of the cell vectors:
1 Ni 0.250 0.250 0.250  0.13
2 Ni 0.750 0.750 0.750  0.13
3 V 0.500 0.500 0.500  0.92
4 Na 0.000 0.000 0.000  0.00

As for the total DFT energy (no corrections): -4.99 eV/atom. The symmetry is Fm-3m (225). Its density is 5.87 g/cm3.

---

Material: NaVNi
Method: DFT, PBE
State: relaxed

Unit cell a=9.523 b=3.856 c=6.686 alpha=90.00 beta=90.18 gamma=90.00
Sites, in units of the cell vectors:
1 Na 0.074 0.000 0.200
2 Na 0.074 0.500 0.700
3 Na 0.757 0.000 0.869
4 Na 0.757 0.500 0.369
5 V 0.312 0.000 0.534
6 V 0.312 0.500 0.034
7 V 0.466 0.000 0.202
8 V 0.466 0.500 0.702
9 Ni 0.561 0.000 0.536
10 Ni 0.561 0.500 0.036
11 Ni 0.294 0.000 0.867
12 Ni 0.294 0.500 0.367

As for the total DFT energy (no corrections): -5.02 eV/atom. The symmetry is Cm (8). Its density is 3.59 g/cm3.

---

Material: NaV3Ni
Method: DFT, PBE
State: relaxed

Unit cell a=4.580 b=4.580 c=4.580 alpha=90.00 beta=90.00 gamma=90.00
Each line ends with the local moment (μB).
Sites, in units of the cell vectors:
1 Ni 0.000 0.000 0.000  -0.02
2 V 0.000 0.500 0.000  1.70
3 V 0.000 0.000 0.500  1.70
4 V 0.500 0.000 0.000  1.70
5 Na 0.500 0.500 0.500  0.01

As for the total DFT energy (no corrections): -5.80 eV/atom. The symmetry is Pm-3m (221). Its density is 4.05 g/cm3.

---

Material: NaVNi
Method: DFT, PBE
State: relaxed

Unit cell a=2.652 b=2.652 c=13.606 alpha=90.00 beta=90.00 gamma=90.00
Sites, in units of the cell vectors:
1 Na 0.000 0.000 0.306
2 Na 0.500 0.500 0.806
3 V 0.000 0.000 0.015
4 V 0.500 0.500 0.515
5 Ni 0.000 0.000 0.632
6 Ni 0.500 0.500 0.132

As for the total DFT energy (no corrections): -4.98 eV/atom. The symmetry is I4mm (107). Its density is 4.60 g/cm3.